VASP calculation (PBE) on a relaxed Er2PaSnO8 crystal.

Output
total magnetic moment	0.7	μB per cell
ΔE_f (raw)	-2.881	eV/atom
total energy	-96.9	eV/f.u.

Structure (POSCAR):
```
Er2PaSnO8
1.0
-2.486 2.757 0.523
-3.893 -3.195 -1.727
-1.171 -2.393 7.056
Er Pa Sn O
2 1 1 8
Direct
0.500 0.500 0.754 Er
0.500 0.500 0.246 Er
0.000 0.000 0.500 Pa
0.000 0.000 0.000 Sn
0.001 0.760 0.246 O
0.501 0.766 0.000 O
0.999 0.240 0.246 O
0.999 0.240 0.754 O
0.499 0.234 0.000 O
0.001 0.760 0.754 O
0.500 0.755 0.500 O
0.500 0.245 0.500 O
```

***

VASP calculation (PBE) on a relaxed ErPaSnO6 crystal.

Output
total magnetic moment	0.0	μB per cell
ΔE_f (raw)	-2.895	eV/atom
total energy	-73.9	eV/f.u.

Structure (POSCAR):
```
ErPaSnO6
1.0
-1.583 -1.734 4.998
-2.719 -1.692 -4.498
5.914 -7.535 -0.741
Er Pa Sn O
2 2 2 12
Direct
0.333 0.667 0.250 Er
0.667 0.333 0.750 Er
0.000 0.000 0.000 Pa
0.000 0.000 0.500 Pa
0.667 0.333 0.250 Sn
0.333 0.667 0.750 Sn
0.680 0.659 0.130 O
0.979 0.320 0.130 O
0.320 0.979 0.630 O
0.021 0.680 0.870 O
0.341 0.320 0.370 O
0.979 0.659 0.370 O
0.659 0.979 0.870 O
0.680 0.021 0.370 O
0.021 0.341 0.630 O
0.341 0.021 0.130 O
0.659 0.680 0.630 O
0.320 0.341 0.870 O
```